The following is a GGA-PBE calculation of Ni2Mo2Ru after structural relaxation, from the Alexandria database.

Values from the calculation:
- V: 13.51 Å³ per atom
- Energy relative to the lowest polymorph listed for this composition: 0 meV per atom
- N(E_F): 10.8 states/eV per cell
- Magnetization: 0.000 μB per atom
- Energy relative to the elements: 0.045 eV/atom
- Symmetry: No. 15
- E_tot: -8.455 eV/atom

Lattice parameters (Å, degrees): 5.134 5.134 6.900 109.16 109.16 52.97
Fractional positions:
Ni: 0.065 0.726 0.549
Ni: 0.274 0.935 0.951
Ni: 0.726 0.065 0.049
Ni: 0.935 0.274 0.451
Mo: 0.146 0.482 0.853
Mo: 0.482 0.146 0.353
Mo: 0.518 0.854 0.647
Mo: 0.854 0.518 0.147
Ru: 0.320 0.680 0.250
Ru: 0.680 0.320 0.750

***

The following is a GGA-PBE calculation of Ba3HfMg2O8 after structural relaxation, from the Alexandria database.

Values from the calculation:
- V: 16.81 Å³ per atom
- N(E_F): 11.9 states/eV per cell
- Formation energy (no corrections): -2523 meV per atom
- Magnetization: 0.149 μB per atom
- Symmetry: No. 164
- E_tot: -6.707 eV/atom

Lattice parameters (Å, degrees): 5.942 5.942 7.697 90.00 90.00 120.00
Fractional positions:
Ba: 0.000 0.000 0.000
Ba: 0.333 0.667 0.646
Ba: 0.667 0.333 0.354
Hf: 0.000 0.000 0.500
Mg: 0.333 0.667 0.225
Mg: 0.667 0.333 0.775
O: 0.162 0.324 0.336
O: 0.162 0.838 0.336
O: 0.324 0.162 0.664
O: 0.333 0.667 0.976
O: 0.667 0.333 0.024
O: 0.676 0.838 0.336
O: 0.838 0.162 0.664
O: 0.838 0.676 0.664

***

The following is a GGA-PBE calculation of NbAgSe after structural relaxation, from the Alexandria database.

Values from the calculation:
- V: 20.06 Å³ per atom
- N(E_F): 2.8 states/eV per cell
- Formation energy (no corrections): -138 meV per atom
- Magnetization: 0.000 μB per atom
- Symmetry: No. 8
- E_tot: -5.607 eV/atom

Lattice parameters (Å, degrees): 4.932 4.932 8.176 98.72 98.72 37.81
Fractional positions:
Nb: 0.000 0.000 0.000
Nb: 0.238 0.238 0.804
Ag: 0.734 0.734 0.491
Ag: 0.998 0.998 0.350
Se: 0.502 0.502 0.738
Se: 0.735 0.735 0.074